No. 1
A relaxed Sr3ScCo crystal. Source: the Alexandria database, functional PBE.

Properties
Relative energy among the computed polymorphs in meV/atom: 780
VASP energy in eV per formula unit: -12.1
E_form in meV per atom: 1278

Cell and atoms, written as CIF:
```
data_Sr3ScCo
_chemical_formula_sum 'Sr3 Sc1 Co1'
_cell_length_a 6.265
_cell_length_b 6.265
_cell_length_c 6.265
_cell_angle_alpha 90.00
_cell_angle_beta 90.00
_cell_angle_gamma 90.00
_symmetry_space_group_name_H-M 'P m -3 m'
_symmetry_Int_Tables_number 221
_symmetry_space_group_name_Hall '-P 4 2 3'
loop_
_atom_site_label
_atom_site_type_symbol
_atom_site_fract_x
_atom_site_fract_y
_atom_site_fract_z
Sr1 Sr 0.000 0.000 0.500
Sc1 Sc 0.000 0.000 0.000
Co1 Co 0.500 0.500 0.500
```

***

No. 2
A relaxed CuOs2Se crystal. Source: the Alexandria database, functional PBE.

Properties
VASP energy in eV per formula unit: -28.6
Uncorrected formation energy in eV per atom: 0.36

Cell and atoms, written as CIF:
```
data_CuOs2Se
_chemical_formula_sum 'Cu1 Os2 Se1'
_cell_length_a 2.784
_cell_length_b 2.822
_cell_length_c 8.085
_cell_angle_alpha 90.00
_cell_angle_beta 90.02
_cell_angle_gamma 90.00
_symmetry_space_group_name_H-M 'P 1 m 1'
_symmetry_Int_Tables_number 6
loop_
_symmetry_equiv_pos_as_xyz
'x,y,z'
'x,-y,z'
loop_
_atom_site_label
_atom_site_type_symbol
_atom_site_fract_x
_atom_site_fract_y
_atom_site_fract_z
Cu1 Cu 0.000 0.000 0.000
Os1 Os 0.002 0.000 0.435
Os2 Os 0.501 0.500 0.229
Se1 Se 0.003 0.500 0.716
```

***

No. 3
A relaxed LiAlTe2Ru crystal. Source: the Alexandria database, functional PBE.

Properties
VASP energy in eV per formula unit: -17.2
Uncorrected formation energy in eV per atom: 0.81

Cell and atoms, written as CIF:
```
data_LiAlTe2Ru
_chemical_formula_sum 'Li1 Al1 Te2 Ru1'
_cell_length_a 4.984
_cell_length_b 4.984
_cell_length_c 4.355
_cell_angle_alpha 90.00
_cell_angle_beta 90.00
_cell_angle_gamma 90.00
_symmetry_space_group_name_H-M 'P 4/m m m'
_symmetry_Int_Tables_number 123
_symmetry_space_group_name_Hall '-P 4 2'
loop_
_atom_site_label
_atom_site_type_symbol
_atom_site_fract_x
_atom_site_fract_y
_atom_site_fract_z
Li1 Li 0.000 0.000 0.000
Al1 Al 0.000 0.000 0.500
Te1 Te 0.000 0.500 0.000
Ru1 Ru 0.500 0.500 0.500
```

***

No. 4
A relaxed HgMoCl6 crystal. Source: the Alexandria database, functional PBE.

Properties
Relative energy among the computed polymorphs in meV/atom: 0
VASP energy in eV per formula unit: -27.9
Uncorrected formation energy in eV per atom: -0.71

Cell and atoms, written as CIF:
```
data_HgMoCl6
_chemical_formula_sum 'Hg2 Mo2 Cl12'
_cell_length_a 6.951
_cell_length_b 11.346
_cell_length_c 6.870
_cell_angle_alpha 90.00
_cell_angle_beta 111.75
_cell_angle_gamma 90.00
_symmetry_space_group_name_H-M 'C 1 2/m 1'
_symmetry_Int_Tables_number 12
loop_
_symmetry_equiv_pos_as_xyz
'x,y,z'
'-x,-y,-z'
'-x,y,-z'
'x,-y,z'
'x+1/2,y+1/2,z'
'-x+1/2,-y+1/2,-z'
'-x+1/2,y+1/2,-z'
'x+1/2,-y+1/2,z'
loop_
_atom_site_label
_atom_site_type_symbol
_atom_site_fract_x
_atom_site_fract_y
_atom_site_fract_z
Hg1 Hg 0.000 0.000 0.000
Mo1 Mo 0.000 0.500 0.500
Cl1 Cl 0.203 0.500 0.299
Cl2 Cl 0.220 0.355 0.725
```

***

No. 5
A relaxed GeCI crystal. Source: the Alexandria database, functional PBE.

Properties
Relative energy among the computed polymorphs in meV/atom: 445
VASP energy in eV per formula unit: -12.0
Uncorrected formation energy in eV per atom: 1.12

Cell and atoms, written as CIF:
```
data_GeCI
_chemical_formula_sum 'Ge2 C2 I2'
_cell_length_a 8.098
_cell_length_b 3.318
_cell_length_c 6.101
_cell_angle_alpha 90.00
_cell_angle_beta 110.19
_cell_angle_gamma 90.00
_symmetry_space_group_name_H-M 'C 1 m 1'
_symmetry_Int_Tables_number 8
loop_
_symmetry_equiv_pos_as_xyz
'x,y,z'
'x,-y,z'
'x+1/2,y+1/2,z'
'x+1/2,-y+1/2,z'
loop_
_atom_site_label
_atom_site_type_symbol
_atom_site_fract_x
_atom_site_fract_y
_atom_site_fract_z
Ge1 Ge 0.000 0.000 0.000
C1 C 0.414 0.000 0.859
I1 I 0.229 0.000 0.475
```

***

No. 6
A relaxed Pm3InAs crystal. Source: the Alexandria database, functional PBE.

Properties
Relative energy among the computed polymorphs in meV/atom: 0
VASP energy in eV per formula unit: -25.3
E_form in meV per atom: -739

Cell and atoms, written as CIF:
```
data_Pm3InAs
_chemical_formula_sum 'Pm6 In2 As2'
_cell_length_a 7.054
_cell_length_b 4.722
_cell_length_c 9.110
_cell_angle_alpha 90.00
_cell_angle_beta 90.12
_cell_angle_gamma 90.00
_symmetry_space_group_name_H-M 'P 1 21/m 1'
_symmetry_Int_Tables_number 11
loop_
_symmetry_equiv_pos_as_xyz
'x,y,z'
'-x,-y,-z'
'-x,y+1/2,-z'
'x,-y+1/2,z'
loop_
_atom_site_label
_atom_site_type_symbol
_atom_site_fract_x
_atom_site_fract_y
_atom_site_fract_z
Pm1 Pm 0.004 0.250 0.328
Pm2 Pm 0.251 0.250 0.930
Pm3 Pm 0.495 0.250 0.329
In1 In 0.249 0.750 0.150
As1 As 0.250 0.250 0.601
```

***

No. 7
A relaxed NiSn2Hg crystal. Source: the Alexandria database, functional PBE.

Properties
VASP energy in eV per formula unit: -14.1
E_form in meV per atom: 1

Cell and atoms, written as CIF:
```
data_NiSn2Hg
_chemical_formula_sum 'Ni3 Sn6 Hg3'
_cell_length_a 4.2652
_cell_length_b 4.2652
_cell_length_c 17.7811
_cell_angle_alpha 90.00
_cell_angle_beta 90.00
_cell_angle_gamma 120.00
_symmetry_space_group_name_H-M 'R 3 m'
_symmetry_Int_Tables_number 160
_symmetry_space_group_name_Hall 'R 3 -2"'
loop_
_atom_site_label
_atom_site_type_symbol
_atom_site_fract_x
_atom_site_fract_y
_atom_site_fract_z
Ni1 Ni 0.0000 0.0000 0.0000
Sn1 Sn 0.0000 0.0000 0.3797
Sn2 Sn 0.0000 0.0000 0.5985
Hg1 Hg 0.0000 0.0000 0.1582
```

***

No. 8
A relaxed FeCoMo2 crystal. Source: the Alexandria database, functional PBE.

Properties
Relative energy among the computed polymorphs in meV/atom: 82
VASP energy in eV per formula unit: -36.6
E_form in meV per atom: 169

Cell and atoms, written as CIF:
```
data_FeCoMo2
_chemical_formula_sum 'Fe1 Co1 Mo2'
_cell_length_a 3.146
_cell_length_b 4.146
_cell_length_c 4.217
_cell_angle_alpha 90.00
_cell_angle_beta 90.00
_cell_angle_gamma 90.00
_symmetry_space_group_name_H-M 'P m m m'
_symmetry_Int_Tables_number 47
loop_
_symmetry_equiv_pos_as_xyz
'x,y,z'
'-x,-y,-z'
'-x,-y,z'
'x,y,-z'
'x,-y,-z'
'-x,y,z'
'-x,y,-z'
'x,-y,z'
loop_
_atom_site_label
_atom_site_type_symbol
_atom_site_fract_x
_atom_site_fract_y
_atom_site_fract_z
Fe1 Fe 0.000 0.000 0.000
Co1 Co 0.500 0.500 0.000
Mo1 Mo 0.000 0.500 0.500
Mo2 Mo 0.500 0.000 0.500
```

***

No. 9
A relaxed SrHo2Pa crystal. Source: the Alexandria database, functional PBE.

Properties
VASP energy in eV per formula unit: -19.1
E_form in meV per atom: 299

Cell and atoms, written as CIF:
```
data_SrHo2Pa
_chemical_formula_sum 'Sr3 Ho6 Pa3'
_cell_length_a 3.5020
_cell_length_b 3.5020
_cell_length_c 36.9580
_cell_angle_alpha 90.00
_cell_angle_beta 90.00
_cell_angle_gamma 120.00
_symmetry_space_group_name_H-M 'R -3 m'
_symmetry_Int_Tables_number 166
_symmetry_space_group_name_Hall '-R 3 2"'
loop_
_atom_site_label
_atom_site_type_symbol
_atom_site_fract_x
_atom_site_fract_y
_atom_site_fract_z
Sr1 Sr 0.0000 0.0000 0.0000
Ho1 Ho 0.0000 0.0000 0.0949
Pa1 Pa 0.0000 0.0000 0.5000
```

***

Question: Look up the VASP energy of the eighth one.
Answer: -36.6 eV per formula unit

***

Question: VASP energy of number 6 (Pm3InAs)?
Answer: -25.3 eV per formula unit

***

Question: Number 5 is which compound?
Answer: GeCI

***

Question: Which value of VASP energy does entry 3 give?
Answer: -17.2 eV per formula unit